Density functional theory data (GGA-PBE) for a relaxed YAl6Au12 crystal. Values from VASP.

The structure in Quantum ESPRESSO input format:
```
&SYSTEM
  ibrav = 0, nat = 19, ntyp = 3
/
ATOMIC_SPECIES
Y 88.91 Y.upf
Al 26.98 Al.upf
Au 196.97 Au.upf
CELL_PARAMETERS angstrom
6.0026 3.4656 2.8837
-6.0026 3.4656 2.8837
0.0000 -6.9312 2.8837
ATOMIC_POSITIONS angstrom
Y 0.0000 0.0000 0.0000
Al 0.0000 -2.8419 3.6278
Al -2.4612 1.4210 3.6278
Al -2.4612 -1.4210 5.0233
Al 2.4612 1.4210 3.6278
Al 2.4612 -1.4210 5.0233
Al 0.0000 2.8419 5.0233
Au -2.2840 -3.9560 4.3256
Au -4.5680 0.0000 4.3256
Au -1.4821 -0.8557 2.5363
Au 1.4821 -0.8557 2.5363
Au 0.0000 1.7114 2.5363
Au 2.2840 -3.9560 4.3256
Au -2.2840 3.9560 4.3256
Au 0.0000 -1.7114 6.1148
Au -1.4821 0.8557 6.1148
Au 1.4821 0.8557 6.1148
Au 4.5680 0.0000 4.3256
Au 2.2840 3.9560 4.3256
```

As for the space group: R-3m. Its density is 12.1 Mg/m³. The value obtained for the formation energy is -345 meV per atom. The total energy comes out at -3.94 eV/atom.